# CaAc4Co3O12

An optimized crystal structure of CaAc4Co3O12 (PBE with a Hubbard U, the Alexandria database).

a = 6.926 Å, b = 6.926 Å, c = 6.926 Å
α = 109.47°, β = 109.47°, γ = 109.47°
Fractional positions:
Ca 0.000 0.000 0.000
Ac 0.000 0.000 0.500
Ac 0.000 0.500 0.000
Ac 0.500 0.000 0.000
Ac 0.500 0.500 0.500
Co 0.000 0.500 0.500
Co 0.500 0.000 0.500
Co 0.500 0.500 0.000
O 0.000 0.269 0.269
O 0.000 0.731 0.731
O 0.250 0.500 0.750
O 0.250 0.750 0.500
O 0.269 0.000 0.269
O 0.269 0.269 0.000
O 0.500 0.250 0.750
O 0.500 0.750 0.250
O 0.731 0.000 0.731
O 0.731 0.731 0.000
O 0.750 0.250 0.500
O 0.750 0.500 0.250

## Properties
uncorrected energy = -139.7 eV per formula unit
Fermi-level density of states = 0.107 states/eV per atom

# CaAcCoO4

An optimized crystal structure of CaAcCoO4 (PBE with a Hubbard U, the Alexandria database).

a = 5.884 Å, b = 5.870 Å, c = 6.988 Å
α = 90.00°, β = 90.38°, γ = 90.00°
Fractional positions:
Ca 0.121 0.250 0.008
Ca 0.879 0.750 0.992
Ac 0.216 0.250 0.521
Ac 0.784 0.750 0.479
Co 0.300 0.750 0.275
Co 0.700 0.250 0.725
O 0.064 0.517 0.243
O 0.064 0.983 0.243
O 0.361 0.750 0.529
O 0.432 0.250 0.839
O 0.568 0.750 0.161
O 0.639 0.250 0.471
O 0.936 0.017 0.757
O 0.936 0.483 0.757

## Properties
uncorrected energy = -46.9 eV per formula unit

# Ca2AcCoO5

An optimized crystal structure of Ca2AcCoO5 (PBE with a Hubbard U, the Alexandria database).

a = 7.314 Å, b = 7.314 Å, c = 7.314 Å
α = 126.18°, β = 126.18°, γ = 79.59°
Fractional positions:
Ca 0.176 0.676 0.852
Ca 0.324 0.176 0.500
Ca 0.676 0.824 0.500
Ca 0.824 0.324 0.148
Ac 0.250 0.250 0.000
Ac 0.750 0.750 0.000
Co 0.250 0.750 0.500
Co 0.750 0.250 0.500
O 0.000 0.000 0.000
O 0.006 0.204 0.500
O 0.204 0.704 0.198
O 0.296 0.494 0.500
O 0.494 0.994 0.198
O 0.500 0.500 0.000
O 0.506 0.006 0.802
O 0.704 0.506 0.500
O 0.796 0.296 0.802
O 0.994 0.796 0.500

## Properties
uncorrected energy = -60.5 eV per formula unit